# Na10Mn2O9

Na10Mn2O9 after structural relaxation (PBE with a Hubbard U, Alexandria). Values from VASP.

```
&SYSTEM
  ibrav = 0, nat = 21, ntyp = 3
/
ATOMIC_SPECIES
Na 22.99 Na.upf
Mn 54.94 Mn.upf
O 16.00 O.upf
CELL_PARAMETERS angstrom
6.154 0.000 0.000
-2.918 5.574 0.000
-0.304 -0.516 9.174
ATOMIC_POSITIONS angstrom
Na -1.010 1.545 3.729
Na -0.309 2.054 0.738
Na -1.851 5.061 1.977
Na 1.687 -0.017 8.251
Na 1.865 1.040 5.064
Na 1.067 4.018 4.110
Na 1.245 5.075 0.923
Na 4.783 -0.003 7.197
Na 3.241 3.004 8.436
Na 3.942 3.513 5.445
Mn 0.242 3.088 6.887
Mn 2.690 1.970 2.287
O 0.000 0.000 0.000
O -0.430 1.701 5.902
O -0.365 3.340 8.555
O 0.930 2.112 2.744
O -0.324 4.702 6.191
O 3.256 0.357 2.983
O 2.002 2.946 6.430
O 3.297 1.719 0.619
O 3.362 3.357 3.272
```

Crystal system: triclinic
Mass density in g/cm3: 2.55
Spin magnetization in μB per formula unit: 6.0
Total energy in eV/atom: -4.83
Space group: P-1, No. 2